The following is a GGA-PBE calculation of an optimized crystal structure of Ca2CuPd2, from Alexandria.

Cell and atoms, written as POSCAR:
```
Ca2CuPd2
1.0
6.963 0.000 0.000
0.000 6.963 0.000
0.000 0.000 4.340
Ca Cu Pd
4 2 4
Direct
0.174 0.326 0.000
0.326 0.826 0.000
0.674 0.174 0.000
0.826 0.674 0.000
0.000 0.000 0.500
0.500 0.500 0.500
0.139 0.639 0.500
0.361 0.139 0.500
0.639 0.861 0.500
0.861 0.361 0.500
```

Computed properties:
ΔE_f: -2.37 eV per formula unit
crystal system: tetragonal


The following is a GGA-PBE calculation of an optimized crystal structure of BaGeSb3, from Alexandria.

Cell and atoms, written as POSCAR:
```
BaGeSb3
1.0
6.132 0.000 0.000
0.000 6.132 0.000
0.000 0.000 6.132
Ba Ge Sb
1 1 3
Direct
0.000 0.000 0.000
0.500 0.500 0.500
0.000 0.000 0.500
0.000 0.500 0.000
0.500 0.000 0.000
```

Computed properties:
ΔE_f (raw): 5.95 eV/f.u.
relative energy among the computed polymorphs: 7.53 eV/f.u.
crystal system: cubic


The following is a GGA-PBE calculation of an optimized crystal structure of Na2HI, from Alexandria.

Cell and atoms, written as POSCAR:
```
Na2HI
1.0
4.090 0.000 0.000
-2.045 3.542 0.000
0.000 0.000 20.989
Na H I
6 3 3
Direct
0.000 0.000 0.000
0.000 0.000 0.200
0.333 0.667 0.667
0.333 0.667 0.867
0.667 0.333 0.333
0.667 0.333 0.534
0.000 0.000 0.603
0.333 0.667 0.270
0.667 0.333 0.937
0.000 0.000 0.432
0.333 0.667 0.099
0.667 0.333 0.765
```

Computed properties:
relative energy among the computed polymorphs: 0.55 eV/f.u.
crystal system: trigonal


The following is a GGA-PBE calculation of an optimized crystal structure of Nb2ZnCd, from Alexandria.

Cell and atoms, written as POSCAR:
```
Nb2ZnCd
1.0
2.866 0.000 0.000
-1.433 2.482 0.000
0.000 0.000 32.072
Nb Zn Cd
6 3 3
Direct
0.000 0.000 0.093
0.000 0.000 0.907
0.333 0.667 0.574
0.333 0.667 0.759
0.667 0.333 0.241
0.667 0.333 0.426
0.000 0.000 0.500
0.333 0.667 0.167
0.667 0.333 0.833
0.000 0.000 0.000
0.333 0.667 0.667
0.667 0.333 0.333
```

Computed properties:
relative energy among the computed polymorphs: 0.25 eV/f.u.
ΔE_f: 1.56 eV per formula unit
crystal system: trigonal


The following is a GGA-PBE calculation of an optimized crystal structure of Li9HgAu2, from Alexandria.

Cell and atoms, written as POSCAR:
```
Li9HgAu2
1.0
4.024 0.000 0.000
0.000 4.024 0.000
0.000 0.000 12.162
Li Hg Au
9 1 2
Direct
0.000 0.000 0.000
0.000 0.000 0.339
0.000 0.000 0.661
0.000 0.500 0.179
0.000 0.500 0.500
0.000 0.500 0.821
0.500 0.000 0.179
0.500 0.000 0.500
0.500 0.000 0.821
0.500 0.500 0.000
0.500 0.500 0.339
0.500 0.500 0.661
```

Computed properties:
ΔE_f: -3.97 eV per formula unit
crystal system: tetragonal


The following is a GGA-PBE calculation of an optimized crystal structure of HoAl4Ge, from Alexandria.

Cell and atoms, written as POSCAR:
```
HoAl4Ge
1.0
0.000 3.864 3.864
3.864 0.000 3.864
3.864 3.864 0.000
Ho Al Ge
1 4 1
Direct
0.000 0.000 0.000
0.125 0.625 0.625
0.625 0.125 0.625
0.625 0.625 0.125
0.625 0.625 0.625
0.250 0.250 0.250
```

Computed properties:
ΔE_f: -0.88 eV per formula unit
crystal system: cubic


no.,final energy (eV for the cell shown),DOS(E_F) (states/eV/cell)
1,-41.7,4.91
2,-13.0,4.62
3,-29.6,0.00
4,-62.3,8.59
5,-28.0,3.87
6,-25.0,2.41